First-principles (PBE-GGA) data for a relaxed structure of Ba2NaLa, as listed in Alexandria via LeMat-Bulk.

The value obtained for the formation energy is 0.27 eV/atom. The calculation puts the energy above the most stable polymorph in this dataset at 0.57 eV/f.u. As for the crystal system: cubic. The total energy comes out at -36.13 eV/cell. The volume comes out at 198.50 Å³/f.u.

It has space group Fm-3m (No. 225), with a = 9.2600 Å, b = 9.2600 Å, c = 9.2600 Å, α = 90.00°, β = 90.00° and γ = 90.00°. The distinct sites, in fractional coordinates, are Ba at (0.2500, 0.2500, 0.2500), Na at (0.0000, 0.0000, 0.0000) and La at (0.0000, 0.0000, 0.5000).